SrAcAsO5: optimized geometry, PBE.

abc: 7.356 10.058 8.277
angles: 90.00 108.00 90.00
Space group C2/c (No. 15)
One atom of each set of equivalent atoms:
Sr: 0.000 0.162 0.250 (multiplicity 4)
Ac: 0.000 0.500 0.000 (multiplicity 4)
As: 0.000 0.178 0.750 (multiplicity 4)
O: 0.000 0.391 0.250 (multiplicity 4)
O: 0.130 0.282 0.660 (multiplicity 8)
O: 0.140 0.074 0.905 (multiplicity 8)

Formation energy (no corrections): -2.4234 eV/atom

---

Sr2Ac4As3O2: optimized geometry, PBE.

abc: 5.028 5.028 25.175
angles: 90.00 90.00 90.00
Space group I4/mmm (No. 139)
One atom of each set of equivalent atoms:
Sr: 0.000 0.000 0.202 (multiplicity 4)
Ac: 0.000 0.500 0.081 (multiplicity 8)
As: 0.000 0.000 0.328 (multiplicity 4)
As: 0.000 0.000 0.500 (multiplicity 2)
O: 0.000 0.000 0.103 (multiplicity 4)

Formation energy (no corrections): -1.6826 eV/atom
Density of states at the Fermi level: 0.203 states/eV per atom